Here is PrSm6Er8 after structural relaxation from Alexandria via LeMat-Bulk. Energies are from GGA-PBE.

The structure in extended XYZ format:
```
15
Lattice="4.5255 2.6128 6.9146 -4.5255 2.6128 6.9146 0.0000 -5.2256 6.9146" Properties=species:S:1:pos:R:3 pbc="T T T"
Pr 0.0000 0.0000 0.0000
Sm -1.9502 0.4906 6.0224
Sm 0.5502 -1.9342 6.0224
Sm -1.3999 -1.4436 14.7214
Sm 1.3999 1.4436 6.0224
Sm -0.5502 1.9342 14.7214
Sm 1.9501 -0.4906 14.7214
Er -2.7440 -1.7284 10.8890
Er -2.8688 1.5122 9.8549
Er 0.1248 -3.2405 9.8549
Er 0.0000 0.0000 8.7872
Er 0.0000 0.0000 11.9566
Er -0.1248 3.2405 10.8890
Er 2.8688 -1.5122 10.8890
Er 2.7440 1.7284 9.8549
```

Output
DOS at the Fermi energy: 1.44 states/eV/atom
Raw total energy: -4.509 eV per atom
SG: R-3 (148)

Here is SiSbTe2 after structural relaxation from Alexandria via LeMat-Bulk. Energies are from GGA-PBE.

The structure in extended XYZ format:
```
8
Lattice="-3.8958 3.8958 3.8961 3.8958 -3.8958 3.8961 3.8958 3.8958 -3.8961" Properties=species:S:1:pos:R:3 pbc="T T T"
Si 0.0000 0.0000 0.0000
Si 0.0000 3.8958 1.9480
Sb 3.8958 0.0000 1.9480
Sb 0.0000 0.0000 3.8961
Te 5.8437 1.7087 -0.9740
Te 1.7087 1.9479 0.9740
Te -1.9479 2.1871 2.9221
Te 2.1871 1.9479 4.8701
```

Output
DOS at the Fermi energy: 0.51 states/eV/atom
Formation energy from raw total energies: 0.31 eV/atom
SG: I-42d (122)
Energy above the most stable polymorph in this dataset: 0.187 eV/atom

The highest DOS at the Fermi energy belongs to which entry?
PrSm6Er8

Which value of DOS at the Fermi energy does entry 1 give?
1.44 states/eV/atom

Which value of DOS at the Fermi energy does entry 2 give?
0.51 states/eV/atom